# 1
ScCdI2O meta-GGA SCAN PBEsol geometry; E = -126.2 eV for the cell shown
1.0
-0.871 0.746 -3.800
5.308 -1.752 -1.561
-1.970 -5.425 -0.613
I Cd Sc O
2 1 1 1
Direct
0.000 0.500 0.000
0.000 0.000 0.500
0.000 0.000 0.000
0.500 0.500 0.500
0.500 0.000 0.000

# 2
ZrCdI2O meta-GGA SCAN PBEsol geometry; E = -141.1 eV for the cell shown
1.0
-0.149 -0.472 3.868
-4.556 -3.493 -0.602
3.537 -4.543 -0.418
I O Cd Zr
2 1 1 1
Direct
0.000 0.500 0.000
0.000 0.000 0.500
0.500 0.000 0.000
0.000 0.000 0.000
0.500 0.500 0.500

# 3
CdOsI3 meta-GGA SCAN PBEsol geometry; E = -206.3 eV for the cell shown
1.0
-2.170 0.620 5.224
-2.778 -4.934 -0.568
4.467 -2.767 2.184
Os I Cd
1 3 1
Direct
0.500 0.500 0.500
0.000 0.500 0.000
0.500 0.000 0.000
0.000 0.000 0.500
0.000 0.000 0.000

# 4
CdOs2I2 meta-GGA SCAN PBEsol geometry; E = -242.1 eV for the cell shown
1.0
4.096 0.000 0.000
0.000 4.096 0.000
-2.048 -2.048 7.392
Os I Cd
2 2 1
Direct
0.250 0.750 0.500
0.750 0.250 0.500
0.643 0.643 0.286
0.357 0.357 0.714
0.000 0.000 0.000

no.,E_form (uncorrected) (eV per atom),theoretical density (Mg/m³)
1,-0.36,5.31
2,-0.05,6.05
3,1.25,6.16
4,1.12,10.00